(1)
Compound: Sc2CuBi
Source: Alexandria via LeMat-Bulk
Functional: PBE
Structure: optimized geometry

POSCAR file:
```
Sc2CuBi
1.0
-3.7102 -8.0365 -3.2800
-1.1565 -9.3055 -1.0860
-4.3656 -8.3661 0.2424
Bi Cu Sc
1 1 2
direct
0.0000 0.0000 0.0000 Bi
0.5000 0.5000 0.5000 Cu
0.8915 0.8915 0.8915 Sc
0.1085 0.1085 0.1085 Sc
```

SG: No. 166
E above lowest polymorph (eV/atom): 0.362

(2)
Compound: Sc6Cu2Bi
Source: Alexandria via LeMat-Bulk
Functional: PBE
Structure: optimized geometry

POSCAR file:
```
Sc6Cu2Bi
1.0
-4.8496 -4.3726 -4.6784
5.8725 3.7175 -4.0272
3.8793 -4.6857 5.2460
Sc Cu Bi
12 4 2
direct
0.6948 0.3759 0.6811 Sc
0.1027 0.2923 0.8103 Sc
0.5180 0.7077 0.8103 Sc
0.8973 0.7077 0.1897 Sc
0.4820 0.2923 0.1897 Sc
0.3052 0.6241 0.3189 Sc
0.6948 0.0138 0.3189 Sc
0.3052 0.9862 0.6811 Sc
0.7876 0.2323 0.0199 Sc
0.2124 0.2323 0.4447 Sc
0.2124 0.7677 0.9801 Sc
0.7876 0.7677 0.5553 Sc
0.6427 0.0000 0.6427 Cu
0.5000 0.6221 0.1221 Cu
0.5000 0.3779 0.8779 Cu
0.3573 0.0000 0.3573 Cu
0.0000 0.5000 0.5000 Bi
0.0000 0.0000 0.0000 Bi
```

Total DFT energy (no corrections) (eV for the cell shown): -104.656
SG: No. 71

(3)
Compound: ScCu2Bi2
Source: Alexandria via LeMat-Bulk
Functional: PBE
Structure: optimized geometry

POSCAR file:
```
ScCu2Bi2
1.0
7.2965 0.0000 0.0000
0.0000 7.2965 0.0000
0.0000 0.0000 3.9642
Bi Cu Sc
4 4 2
direct
0.3178 0.1822 0.5000 Bi
0.6822 0.8178 0.5000 Bi
0.1822 0.6822 0.5000 Bi
0.8178 0.3178 0.5000 Bi
0.8821 0.6179 0.0000 Cu
0.1179 0.3821 0.0000 Cu
0.3821 0.8821 0.0000 Cu
0.6179 0.1179 0.0000 Cu
0.5000 0.5000 0.0000 Sc
0.0000 0.0000 0.0000 Sc
```

SG: No. 127
E above lowest polymorph (eV/atom): 0.000

(4)
Compound: ScCuBi2
Source: Alexandria via LeMat-Bulk
Functional: PBE
Structure: optimized geometry

POSCAR file:
```
ScCuBi2
1.0
-4.4201 2.7590 5.8757
-6.0741 0.7492 -4.9212
-6.1855 -1.2439 1.1791
Cu Bi Sc
2 4 2
direct
0.7500 0.2500 0.5000 Cu
0.0000 0.0000 0.0000 Cu
0.6654 0.1250 0.2500 Bi
0.0846 0.6250 0.2500 Bi
0.3750 0.3346 0.7500 Bi
0.8750 0.9154 0.7500 Bi
0.2500 0.7500 0.5000 Sc
0.5000 0.5000 0.0000 Sc
```

Total DFT energy (no corrections) (eV for the cell shown): -36.897
SG: No. 122

(5)
Compound: Sc3CuBi
Source: Alexandria via LeMat-Bulk
Functional: PBE
Structure: optimized geometry

POSCAR file:
```
Sc3CuBi
1.0
-4.4445 -2.1950 0.2663
1.9609 -4.1892 -1.8022
1.0216 -1.5084 4.6178
Bi Sc Cu
1 3 1
direct
0.5000 0.5000 0.5000 Bi
0.0000 0.5000 0.0000 Sc
0.0000 0.0000 0.5000 Sc
0.5000 0.0000 0.0000 Sc
0.0000 0.0000 0.0000 Cu
```

SG: No. 221
E above lowest polymorph (eV/atom): 0.000

(6)
Compound: ScCu2Bi2
Source: Alexandria via LeMat-Bulk
Functional: PBE
Structure: optimized geometry

POSCAR file:
```
ScCu2Bi2
1.0
-3.4309 6.2889 3.4673
-6.5834 -4.2894 1.2659
1.2546 -1.0156 3.0835
Cu Sc Bi
4 2 4
direct
0.1241 0.6241 0.5000 Cu
0.8759 0.3759 0.5000 Cu
0.3759 0.1241 0.5000 Cu
0.6241 0.8759 0.5000 Cu
0.5000 0.5000 0.0000 Sc
0.0000 0.0000 0.0000 Sc
0.8324 0.6676 0.0000 Bi
0.6676 0.1676 0.0000 Bi
0.1676 0.3324 0.0000 Bi
0.3324 0.8324 0.0000 Bi
```

SG: No. 127
E above lowest polymorph (eV/atom): 0.174

(7)
Compound: Sc3Cu3Bi4
Source: Alexandria via LeMat-Bulk
Functional: PBE
Structure: optimized geometry

POSCAR file:
```
Sc3Cu3Bi4
1.0
-7.3281 -3.0597 2.4530
2.1252 -3.4007 -7.2800
5.7916 -1.7854 5.6876
Bi Sc Cu
8 6 6
direct
0.0000 0.0000 0.8305 Bi
0.8305 0.5000 0.0000 Bi
0.5000 0.8305 0.5000 Bi
0.0000 0.0000 0.3305 Bi
0.5000 0.3305 0.5000 Bi
0.3305 0.5000 0.0000 Bi
0.1695 0.6695 0.6695 Bi
0.6695 0.1695 0.1695 Bi
0.6250 0.7500 0.8750 Sc
0.7500 0.6250 0.3750 Sc
0.8750 0.2500 0.6250 Sc
0.2500 0.8750 0.1250 Sc
0.1250 0.3750 0.2500 Sc
0.3750 0.1250 0.7500 Sc
0.3750 0.2500 0.1250 Cu
0.2500 0.3750 0.6250 Cu
0.7500 0.1250 0.8750 Cu
0.1250 0.7500 0.3750 Cu
0.6250 0.8750 0.2500 Cu
0.8750 0.6250 0.7500 Cu
```

Total DFT energy (no corrections) (eV for the cell shown): -100.113
SG: No. 220

(8)
Compound: ScCuBi
Source: Alexandria via LeMat-Bulk
Functional: PBE
Structure: optimized geometry

POSCAR file:
```
ScCuBi
1.0
-1.0531 -0.8573 4.0848
5.8704 -0.0717 -0.7697
4.1016 4.8937 2.0846
Bi Cu Sc
2 2 2
direct
0.5405 0.0810 0.7167 Bi
0.4595 0.9190 0.2833 Bi
0.1448 0.2895 0.3655 Cu
0.8552 0.7105 0.6345 Cu
0.1825 0.3650 0.8987 Sc
0.8175 0.6350 0.1013 Sc
```

Total DFT energy (no corrections) (eV for the cell shown): -29.939
SG: No. 12

(9)
Compound: ScCu2TcBi
Source: Alexandria via LeMat-Bulk
Functional: PBE
Structure: optimized geometry

POSCAR file:
```
ScCu2TcBi
1.0
4.8202 0.0000 0.0000
0.0000 5.5894 0.0000
0.0000 0.0000 4.8202
Tc Bi Cu Sc
1 1 2 1
direct
0.5000 0.5000 0.5000 Tc
0.0000 0.0000 0.0000 Bi
0.0000 0.0000 0.5000 Cu
0.5000 0.0000 0.0000 Cu
0.0000 0.5000 0.0000 Sc
```

Total DFT energy (no corrections) (eV for the cell shown): -22.294
SG: No. 123

(10)
Compound: YSc2CuBi
Source: Alexandria via LeMat-Bulk
Functional: PBE
Structure: optimized geometry

POSCAR file:
```
YSc2CuBi
1.0
-2.3609 -4.3434 -0.5164
0.3605 -0.8201 5.2489
-4.3610 2.2922 0.6577
Cu Sc Bi Y
1 2 1 1
direct
0.0000 0.0000 0.0000 Cu
0.5000 0.0000 0.0000 Sc
0.0000 0.0000 0.5000 Sc
0.5000 0.5000 0.5000 Bi
0.0000 0.5000 0.0000 Y
```

Total DFT energy (no corrections) (eV for the cell shown): -28.050
SG: No. 123

(11)
Compound: ScZnCuBi2
Source: Alexandria via LeMat-Bulk
Functional: PBE
Structure: optimized geometry

POSCAR file:
```
ScZnCuBi2
1.0
5.3968 0.0000 0.0000
0.0000 4.4636 0.0000
0.0000 0.0000 5.3968
Bi Sc Zn Cu
2 1 1 1
direct
0.5000 0.0000 0.0000 Bi
0.0000 0.0000 0.5000 Bi
0.5000 0.5000 0.5000 Sc
0.0000 0.0000 0.0000 Zn
0.0000 0.5000 0.0000 Cu
```

Total DFT energy (no corrections) (eV for the cell shown): -17.830
SG: No. 123

(12)
Compound: ZrScCuBi2
Source: Alexandria via LeMat-Bulk
Functional: PBE
Structure: optimized geometry

POSCAR file:
```
ZrScCuBi2
1.0
5.4662 0.0000 0.0000
0.0000 5.4662 0.0000
0.0000 0.0000 5.1274
Sc Zr Bi Cu
1 1 2 1
direct
0.0000 0.0000 0.0000 Sc
0.0000 0.0000 0.5000 Zr
0.0000 0.5000 0.0000 Bi
0.5000 0.0000 0.0000 Bi
0.5000 0.5000 0.5000 Cu
```

Total DFT energy (no corrections) (eV for the cell shown): -22.413
SG: No. 123

(13)
Compound: CuBi3Se6
Source: Alexandria via LeMat-Bulk
Functional: PBE
Structure: optimized geometry

POSCAR file:
```
CuBi3Se6
1.0
7.3276 0.0000 0.0000
0.0000 9.0298 0.3833
0.0000 -1.6413 8.8876
Bi Se Cu
6 12 2
direct
0.9667 0.6870 0.9076 Bi
0.4667 0.9076 0.6870 Bi
0.3489 0.4120 0.5880 Bi
0.4667 0.3130 0.0924 Bi
0.8489 0.5880 0.4120 Bi
0.9667 0.0924 0.3130 Bi
0.6638 0.6161 0.7017 Se
0.7386 0.9639 0.0361 Se
0.2386 0.0361 0.9639 Se
0.6921 0.5833 0.1072 Se
0.1921 0.1072 0.5833 Se
0.7201 0.1447 0.8553 Se
0.1638 0.3839 0.2983 Se
0.6638 0.2983 0.3839 Se
0.1921 0.4167 0.8928 Se
0.6921 0.8928 0.4167 Se
0.2201 0.8553 0.1447 Se
0.1638 0.7017 0.6161 Se
0.0327 0.1849 0.8151 Cu
0.5327 0.8151 0.1849 Cu
```

SG: No. 36
Formation energy (no corrections) (eV per atom): -0.21

(14)
Compound: Cu2BiSe
Source: Alexandria via LeMat-Bulk
Functional: PBE
Structure: optimized geometry

POSCAR file:
```
Cu2BiSe
1.0
6.2759 0.0000 0.0000
0.0000 6.2759 0.0000
3.1379 3.1379 4.7583
Se Cu Bi
2 4 2
direct
0.2500 0.7500 0.5000 Se
0.5000 0.5000 0.0000 Se
0.3750 0.4189 0.7500 Cu
0.5811 0.1250 0.2500 Cu
0.8750 0.8311 0.7500 Cu
0.1689 0.6250 0.2500 Cu
0.0000 0.0000 0.0000 Bi
0.7500 0.2500 0.5000 Bi
```

SG: No. 122
Formation energy (no corrections) (eV per atom): 0.10

(15)
Compound: CuBiSe2
Source: Alexandria via LeMat-Bulk
Functional: PBE
Structure: optimized geometry

POSCAR file:
```
CuBiSe2
1.0
6.1457 0.0000 0.0000
0.0000 6.1457 0.0000
3.0728 3.0728 6.0512
Cu Se Bi
2 4 2
direct
0.2500 0.7500 0.5000 Cu
0.5000 0.5000 0.0000 Cu
0.3750 0.4343 0.7500 Se
0.5657 0.1250 0.2500 Se
0.8750 0.8157 0.7500 Se
0.1843 0.6250 0.2500 Se
0.7500 0.2500 0.5000 Bi
0.0000 0.0000 0.0000 Bi
```

SG: No. 122
Formation energy (no corrections) (eV per atom): -0.18

(16)
Compound: Cu5Bi3Se12
Source: Alexandria via LeMat-Bulk
Functional: PBE
Structure: optimized geometry

POSCAR file:
```
Cu5Bi3Se12
1.0
-6.6805 -5.7354 -10.3239
6.6320 -9.5687 6.9687
-8.8319 6.2534 8.1853
Bi Cu Se
12 20 48
direct
0.7500 0.3750 0.1250 Bi
0.2500 0.1250 0.3750 Bi
0.8750 0.1250 0.2500 Bi
0.1250 0.8750 0.7500 Bi
0.3750 0.6250 0.2500 Bi
0.8750 0.7500 0.1250 Bi
0.6250 0.2500 0.3750 Bi
0.7500 0.8750 0.6250 Bi
0.2500 0.6250 0.8750 Bi
0.3750 0.7500 0.6250 Bi
0.1250 0.2500 0.8750 Bi
0.6250 0.3750 0.7500 Bi
0.8750 0.6250 0.7500 Cu
0.3750 0.2500 0.1250 Cu
0.0000 0.5000 0.5000 Cu
0.0000 0.0000 0.0000 Cu
0.2500 0.3750 0.6250 Cu
0.5000 0.0000 0.5000 Cu
0.7500 0.1250 0.8750 Cu
0.5000 0.5000 0.0000 Cu
0.0000 0.0000 0.5000 Cu
0.8750 0.2500 0.6250 Cu
0.6250 0.7500 0.8750 Cu
0.1250 0.3750 0.2500 Cu
0.2500 0.8750 0.1250 Cu
0.1250 0.7500 0.3750 Cu
0.5000 0.0000 0.0000 Cu
0.6250 0.8750 0.2500 Cu
0.3750 0.1250 0.7500 Cu
0.7500 0.6250 0.3750 Cu
0.5000 0.5000 0.5000 Cu
0.0000 0.5000 0.0000 Cu
0.4158 0.2980 0.3237 Se
0.4742 0.6763 0.0921 Se
0.0921 0.1763 0.4742 Se
0.9079 0.8237 0.5258 Se
0.2980 0.4158 0.8237 Se
0.4079 0.3821 0.5842 Se
0.6179 0.0258 0.2020 Se
0.9079 0.0842 0.8821 Se
0.8821 0.5842 0.9079 Se
0.0842 0.9079 0.3821 Se
0.8237 0.9158 0.2980 Se
0.5842 0.7020 0.6763 Se
0.8237 0.9079 0.0258 Se
0.7020 0.5842 0.1763 Se
0.7980 0.3237 0.9158 Se
0.9158 0.0921 0.6179 Se
0.4158 0.1179 0.5921 Se
0.3821 0.9742 0.7980 Se
0.0258 0.4079 0.8237 Se
0.6179 0.5921 0.9158 Se
0.9158 0.8237 0.7980 Se
0.1179 0.7020 0.5258 Se
0.3237 0.7980 0.4158 Se
0.7020 0.1179 0.0258 Se
0.6763 0.4742 0.5921 Se
0.5258 0.2020 0.1179 Se
0.0258 0.6179 0.7020 Se
0.9742 0.3821 0.2980 Se
0.9742 0.5921 0.1763 Se
0.6763 0.2020 0.5842 Se
0.3821 0.4079 0.0842 Se
0.1179 0.4158 0.0921 Se
0.4079 0.0258 0.3237 Se
0.1763 0.0842 0.7020 Se
0.2020 0.6763 0.0842 Se
0.3237 0.5258 0.4079 Se
0.4742 0.7980 0.8821 Se
0.1763 0.0921 0.9742 Se
0.2980 0.8821 0.9742 Se
0.5842 0.8821 0.4079 Se
0.2020 0.5258 0.6179 Se
0.5921 0.6179 0.4158 Se
0.5258 0.3237 0.9079 Se
0.0921 0.9158 0.1179 Se
0.8821 0.2980 0.4742 Se
0.7980 0.4742 0.3821 Se
0.5921 0.9742 0.6763 Se
0.0842 0.1763 0.2020 Se
```

SG: No. 230
Formation energy (no corrections) (eV per atom): -0.04

(17)
Compound: CuBiSe2
Source: Alexandria via LeMat-Bulk
Functional: PBE
Structure: optimized geometry

POSCAR file:
```
CuBiSe2
1.0
3.8413 7.9419 0.6662
6.6748 5.7242 0.9775
5.4216 6.6046 -2.2933
Bi Se Cu
1 2 1
direct
0.0000 0.0000 0.0000 Bi
0.8863 0.8863 0.8863 Se
0.1137 0.1137 0.1137 Se
0.5000 0.5000 0.5000 Cu
```

SG: No. 166
Formation energy (no corrections) (eV per atom): -0.03

(18)
Compound: CuBiSe3
Source: Alexandria via LeMat-Bulk
Functional: PBE
Structure: optimized geometry

POSCAR file:
```
CuBiSe3
1.0
-4.5083 -0.7229 1.5868
-1.4786 -0.7471 -4.5410
0.9244 -4.7207 0.4757
Se Bi Cu
3 1 1
direct
0.5000 0.0000 0.0000 Se
0.0000 0.0000 0.5000 Se
0.0000 0.5000 0.0000 Se
0.5000 0.5000 0.5000 Bi
0.0000 0.0000 0.0000 Cu
```

SG: No. 221
Formation energy (no corrections) (eV per atom): 0.17
E above lowest polymorph (eV/atom): 0.328

(19)
Compound: CuBi3Se
Source: Alexandria via LeMat-Bulk
Functional: PBE
Structure: optimized geometry

POSCAR file:
```
CuBi3Se
1.0
5.5660 0.0000 0.0000
0.0000 5.5660 0.0000
0.0000 0.0000 5.5660
Bi Cu Se
3 1 1
direct
0.0000 0.0000 0.5000 Bi
0.0000 0.5000 0.0000 Bi
0.5000 0.0000 0.0000 Bi
0.5000 0.5000 0.5000 Cu
0.0000 0.0000 0.0000 Se
```

SG: No. 221
Formation energy (no corrections) (eV per atom): 0.86
E above lowest polymorph (eV/atom): 0.402

(20)
Compound: Cu3BiSe
Source: Alexandria via LeMat-Bulk
Functional: PBE
Structure: optimized geometry

POSCAR file:
```
Cu3BiSe
1.0
-1.5022 2.9003 3.3501
-4.4038 -1.3694 -0.7891
0.4914 -3.4065 3.1695
Se Cu Bi
1 3 1
direct
0.0000 0.0000 0.0000 Se
0.5000 0.0000 0.0000 Cu
0.0000 0.0000 0.5000 Cu
0.0000 0.5000 0.0000 Cu
0.5000 0.5000 0.5000 Bi
```

SG: No. 221
Formation energy (no corrections) (eV per atom): 0.43
E above lowest polymorph (eV/atom): 0.000

(21)
Compound: Cu2BiSe2
Source: Alexandria via LeMat-Bulk
Functional: PBE
Structure: optimized geometry

POSCAR file:
```
Cu2BiSe2
1.0
-2.0025 -0.8040 3.5637
2.8820 -3.0394 0.9337
2.0755 6.2218 2.5700
Bi Se Cu
1 2 2
direct
0.2000 0.8708 0.1357 Bi
0.7000 0.3689 0.1493 Se
0.2000 0.4497 0.6857 Se
0.7000 0.4480 0.5019 Cu
0.2000 0.8625 0.5274 Cu
```

SG: No. 6
Formation energy (no corrections) (eV per atom): -0.07
E above lowest polymorph (eV/atom): 0.000